The following is a DFT calculation (GGA+U) of a relaxed structure of Dy2HgWO8.

Cell: 4.993 5.002 7.005 Å, 86.29 86.39 86.18°
Space group P-1 (No. 2)
One atom of each set of equivalent atoms:
1 Dy 0.018 0.016 0.254 x2
2 Hg 0.500 0.500 0.000 x1
3 W 0.500 0.500 0.500 x1
4 O 0.199 0.800 0.000 x2
5 O 0.214 0.783 0.501 x2
6 O 0.289 0.285 0.674 x2
7 O 0.343 0.344 0.270 x2

Properties
- DOS(E_F) (states/eV per atom) = 0.365
- electronic total energy (eV per atom) = -6.794
- magnetic moment (μB/f.u.) = 0.0